No. 1
VASP calculation (PBE-GGA) on a geometry-optimized NaSmTl structure.

- energy relative to the lowest polymorph listed for this composition (meV/atom) = 0.0

Lattice parameters (Å, degrees): 7.3397 7.3397 7.3397 90.00 90.00 90.00
With the nearest neighbours (Å) after each atom.
Sites, in units of the cell vectors:
Na (0.0000, 0.0000, 0.0000)  4 Tl 3.18
Na (0.0000, 0.5000, 0.5000)  4 Tl 3.18
Na (0.5000, 0.0000, 0.5000)  4 Tl 3.18
Na (0.5000, 0.5000, 0.0000)  4 Tl 3.18
Sm (0.0000, 0.0000, 0.5000)  4 Tl 3.18
Sm (0.0000, 0.5000, 0.0000)  4 Tl 3.18
Sm (0.5000, 0.0000, 0.0000)  4 Tl 3.18
Sm (0.5000, 0.5000, 0.5000)  4 Tl 3.18
Tl (0.2500, 0.2500, 0.2500)  4 Na 3.18, 4 Sm 3.18
Tl (0.2500, 0.7500, 0.7500)  4 Na 3.18, 4 Sm 3.18
Tl (0.7500, 0.2500, 0.7500)  4 Na 3.18, 4 Sm 3.18
Tl (0.7500, 0.7500, 0.2500)  4 Na 3.18, 4 Sm 3.18

---

No. 2
VASP calculation (PBE-GGA) on a geometry-optimized NaSmTl structure.

- energy relative to the lowest polymorph listed for this composition (meV/atom) = 264.1

Lattice parameters (Å, degrees): 7.3783 7.3783 7.3783 90.00 90.00 90.00
With the nearest neighbours (Å) after each atom.
Sites, in units of the cell vectors:
Na (0.0000, 0.0000, 0.0000)  4 Sm 3.19
Na (0.0000, 0.5000, 0.5000)  4 Sm 3.19
Na (0.5000, 0.0000, 0.5000)  4 Sm 3.19
Na (0.5000, 0.5000, 0.0000)  4 Sm 3.19
Sm (0.2500, 0.2500, 0.2500)  4 Tl 3.19, 4 Na 3.19
Sm (0.2500, 0.7500, 0.7500)  4 Tl 3.19, 4 Na 3.19
Sm (0.7500, 0.2500, 0.7500)  4 Tl 3.19, 4 Na 3.19
Sm (0.7500, 0.7500, 0.2500)  4 Tl 3.19, 4 Na 3.19
Tl (0.0000, 0.0000, 0.5000)  4 Sm 3.19
Tl (0.0000, 0.5000, 0.0000)  4 Sm 3.19
Tl (0.5000, 0.0000, 0.0000)  4 Sm 3.19
Tl (0.5000, 0.5000, 0.5000)  4 Sm 3.19

---

No. 3
VASP calculation (PBE-GGA) on a geometry-optimized NaSmTm structure.

- energy relative to the lowest polymorph listed for this composition (meV/atom) = 0.0

Lattice parameters (Å, degrees): 7.5157 7.5157 7.5157 90.00 90.00 90.00
With the nearest neighbours (Å) after each atom.
Sites, in units of the cell vectors:
Na (0.0000, 0.0000, 0.0000)  4 Tm 3.25, 4 Sm 3.25
Na (0.0000, 0.5000, 0.5000)  4 Tm 3.25, 4 Sm 3.25
Na (0.5000, 0.0000, 0.5000)  4 Tm 3.25, 4 Sm 3.25
Na (0.5000, 0.5000, 0.0000)  4 Tm 3.25, 4 Sm 3.25
Sm (0.2500, 0.2500, 0.7500)  4 Na 3.25
Sm (0.2500, 0.7500, 0.2500)  4 Na 3.25
Sm (0.7500, 0.2500, 0.2500)  4 Na 3.25
Sm (0.7500, 0.7500, 0.7500)  4 Na 3.25
Tm (0.2500, 0.2500, 0.2500)  4 Na 3.25
Tm (0.2500, 0.7500, 0.7500)  4 Na 3.25
Tm (0.7500, 0.2500, 0.7500)  4 Na 3.25
Tm (0.7500, 0.7500, 0.2500)  4 Na 3.25

---

No. 4
VASP calculation (PBE-GGA) on a geometry-optimized NaSmU structure.

- energy relative to the lowest polymorph listed for this composition (meV/atom) = 0.0

Lattice parameters (Å, degrees): 7.4671 7.4671 7.4671 90.00 90.00 90.00
With the nearest neighbours (Å) after each atom.
Sites, in units of the cell vectors:
Na (0.0000, 0.0000, 0.0000)  4 U 3.23, 4 Sm 3.23
Na (0.0000, 0.5000, 0.5000)  4 U 3.23, 4 Sm 3.23
Na (0.5000, 0.0000, 0.5000)  4 U 3.23, 4 Sm 3.23
Na (0.5000, 0.5000, 0.0000)  4 U 3.23, 4 Sm 3.23
Sm (0.2500, 0.2500, 0.7500)  4 Na 3.23
Sm (0.2500, 0.7500, 0.2500)  4 Na 3.23
Sm (0.7500, 0.2500, 0.2500)  4 Na 3.23
Sm (0.7500, 0.7500, 0.7500)  4 Na 3.23
U (0.2500, 0.2500, 0.2500)  4 Na 3.23
U (0.2500, 0.7500, 0.7500)  4 Na 3.23
U (0.7500, 0.2500, 0.7500)  4 Na 3.23
U (0.7500, 0.7500, 0.2500)  4 Na 3.23

---

No. 5
VASP calculation (PBE-GGA) on a geometry-optimized NaTaSn structure.

- energy relative to the lowest polymorph listed for this composition (meV/atom) = 0.0

Lattice parameters (Å, degrees): 6.7362 6.7362 6.7362 90.00 90.00 90.00
With the nearest neighbours (Å) after each atom.
Sites, in units of the cell vectors:
Na (0.0000, 0.0000, 0.0000)  4 Sn 2.92
Na (0.0000, 0.5000, 0.5000)  4 Sn 2.92
Na (0.5000, 0.0000, 0.5000)  4 Sn 2.92
Na (0.5000, 0.5000, 0.0000)  4 Sn 2.92
Ta (0.0000, 0.0000, 0.5000)  4 Sn 2.92
Ta (0.0000, 0.5000, 0.0000)  4 Sn 2.92
Ta (0.5000, 0.0000, 0.0000)  4 Sn 2.92
Ta (0.5000, 0.5000, 0.5000)  4 Sn 2.92
Sn (0.2500, 0.2500, 0.2500)  4 Ta 2.92, 4 Na 2.92
Sn (0.2500, 0.7500, 0.7500)  4 Ta 2.92, 4 Na 2.92
Sn (0.7500, 0.2500, 0.7500)  4 Ta 2.92, 4 Na 2.92
Sn (0.7500, 0.7500, 0.2500)  4 Ta 2.92, 4 Na 2.92

---

No. 6
VASP calculation (PBE-GGA) on a geometry-optimized NaTcSnTe structure.

- energy relative to the lowest polymorph listed for this composition (meV/atom) = 0.0

Lattice parameters (Å, degrees): 6.8443 6.8443 6.8443 90.00 90.00 90.00
With the nearest neighbours (Å) after each atom.
Sites, in units of the cell vectors:
Na (0.0000, 0.0000, 0.0000)  4 Te 2.96, 4 Sn 2.96
Na (0.0000, 0.5000, 0.5000)  4 Te 2.96, 4 Sn 2.96
Na (0.5000, 0.0000, 0.5000)  4 Te 2.96, 4 Sn 2.96
Na (0.5000, 0.5000, 0.0000)  4 Te 2.96, 4 Sn 2.96
Tc (0.0000, 0.0000, 0.5000)  4 Sn 2.96, 4 Te 2.96
Tc (0.0000, 0.5000, 0.0000)  4 Sn 2.96, 4 Te 2.96
Tc (0.5000, 0.0000, 0.0000)  4 Sn 2.96, 4 Te 2.96
Tc (0.5000, 0.5000, 0.5000)  4 Sn 2.96, 4 Te 2.96
Sn (0.2500, 0.2500, 0.7500)  4 Na 2.96, 4 Tc 2.96
Sn (0.2500, 0.7500, 0.2500)  4 Na 2.96, 4 Tc 2.96
Sn (0.7500, 0.2500, 0.2500)  4 Na 2.96, 4 Tc 2.96
Sn (0.7500, 0.7500, 0.7500)  4 Na 2.96, 4 Tc 2.96
Te (0.2500, 0.2500, 0.2500)  4 Na 2.96, 4 Tc 2.96
Te (0.2500, 0.7500, 0.7500)  4 Tc 2.96, 4 Na 2.96
Te (0.7500, 0.2500, 0.7500)  4 Tc 2.96, 4 Na 2.96
Te (0.7500, 0.7500, 0.2500)  4 Tc 2.96, 4 Na 2.96

---

No. 7
VASP calculation (PBE-GGA) on a geometry-optimized NaTcSnTe structure.

- energy relative to the lowest polymorph listed for this composition (meV/atom) = 442.4

Lattice parameters (Å, degrees): 7.1318 7.1318 7.1318 90.00 90.00 90.00
With the nearest neighbours (Å) after each atom.
Sites, in units of the cell vectors:
Na (0.0000, 0.0000, 0.0000)  4 Tc 3.09, 4 Te 3.09
Na (0.0000, 0.5000, 0.5000)  4 Tc 3.09, 4 Te 3.09
Na (0.5000, 0.0000, 0.5000)  4 Tc 3.09, 4 Te 3.09
Na (0.5000, 0.5000, 0.0000)  4 Tc 3.09, 4 Te 3.09
Tc (0.2500, 0.2500, 0.7500)  4 Sn 3.09, 4 Na 3.09
Tc (0.2500, 0.7500, 0.2500)  4 Sn 3.09, 4 Na 3.09
Tc (0.7500, 0.2500, 0.2500)  4 Sn 3.09, 4 Na 3.09
Tc (0.7500, 0.7500, 0.7500)  4 Sn 3.09, 4 Na 3.09
Sn (0.0000, 0.0000, 0.5000)  4 Tc 3.09, 4 Te 3.09
Sn (0.0000, 0.5000, 0.0000)  4 Tc 3.09, 4 Te 3.09
Sn (0.5000, 0.0000, 0.0000)  4 Tc 3.09, 4 Te 3.09
Sn (0.5000, 0.5000, 0.5000)  4 Tc 3.09, 4 Te 3.09
Te (0.2500, 0.2500, 0.2500)  4 Na 3.09, 4 Sn 3.09
Te (0.2500, 0.7500, 0.7500)  4 Na 3.09, 4 Sn 3.09
Te (0.7500, 0.2500, 0.7500)  4 Na 3.09, 4 Sn 3.09
Te (0.7500, 0.7500, 0.2500)  4 Na 3.09, 4 Sn 3.09

---

No. 8
VASP calculation (PBE-GGA) on a geometry-optimized NaTcSnW structure.

- energy relative to the lowest polymorph listed for this composition (meV/atom) = 109.0

Lattice parameters (Å, degrees): 6.5080 6.5080 6.5080 90.00 90.00 90.00
With the nearest neighbours (Å) after each atom.
Sites, in units of the cell vectors:
Na (0.0000, 0.0000, 0.0000)  4 Sn 2.82, 4 Tc 2.82
Na (0.0000, 0.5000, 0.5000)  4 Sn 2.82, 4 Tc 2.82
Na (0.5000, 0.0000, 0.5000)  4 Sn 2.82, 4 Tc 2.82
Na (0.5000, 0.5000, 0.0000)  4 Sn 2.82, 4 Tc 2.82
Tc (0.2500, 0.2500, 0.2500)  4 W 2.82, 4 Na 2.82
Tc (0.2500, 0.7500, 0.7500)  4 W 2.82, 4 Na 2.82
Tc (0.7500, 0.2500, 0.7500)  4 W 2.82, 4 Na 2.82
Tc (0.7500, 0.7500, 0.2500)  4 W 2.82, 4 Na 2.82
Sn (0.2500, 0.2500, 0.7500)  4 W 2.82, 4 Na 2.82
Sn (0.2500, 0.7500, 0.2500)  4 W 2.82, 4 Na 2.82
Sn (0.7500, 0.2500, 0.2500)  4 W 2.82, 4 Na 2.82
Sn (0.7500, 0.7500, 0.7500)  4 W 2.82, 4 Na 2.82
W (0.0000, 0.0000, 0.5000)  4 Sn 2.82, 4 Tc 2.82
W (0.0000, 0.5000, 0.0000)  4 Sn 2.82, 4 Tc 2.82
W (0.5000, 0.0000, 0.0000)  4 Sn 2.82, 4 Tc 2.82
W (0.5000, 0.5000, 0.5000)  4 Sn 2.82, 4 Tc 2.82

---

No. 9
VASP calculation (PBE-GGA) on a geometry-optimized NaTcSnW structure.

- energy relative to the lowest polymorph listed for this composition (meV/atom) = 0.0

Lattice parameters (Å, degrees): 6.4655 6.4655 6.4655 90.00 90.00 90.00
With the nearest neighbours (Å) after each atom.
Sites, in units of the cell vectors:
Na (0.0000, 0.0000, 0.0000)  4 W 2.80, 4 Sn 2.80
Na (0.0000, 0.5000, 0.5000)  4 W 2.80, 4 Sn 2.80
Na (0.5000, 0.0000, 0.5000)  4 W 2.80, 4 Sn 2.80
Na (0.5000, 0.5000, 0.0000)  4 W 2.80, 4 Sn 2.80
Tc (0.0000, 0.0000, 0.5000)  4 W 2.80, 4 Sn 2.80
Tc (0.0000, 0.5000, 0.0000)  4 W 2.80, 4 Sn 2.80
Tc (0.5000, 0.0000, 0.0000)  4 W 2.80, 4 Sn 2.80
Tc (0.5000, 0.5000, 0.5000)  4 W 2.80, 4 Sn 2.80
Sn (0.2500, 0.2500, 0.2500)  4 Na 2.80, 4 Tc 2.80
Sn (0.2500, 0.7500, 0.7500)  4 Na 2.80, 4 Tc 2.80
Sn (0.7500, 0.2500, 0.7500)  4 Na 2.80, 4 Tc 2.80
Sn (0.7500, 0.7500, 0.2500)  4 Na 2.80, 4 Tc 2.80
W (0.2500, 0.2500, 0.7500)  4 Na 2.80, 4 Tc 2.80
W (0.2500, 0.7500, 0.2500)  4 Na 2.80, 4 Tc 2.80
W (0.7500, 0.2500, 0.2500)  4 Na 2.80, 4 Tc 2.80
W (0.7500, 0.7500, 0.7500)  4 Na 2.80, 4 Tc 2.80

---

No. 10
VASP calculation (PBE-GGA) on a geometry-optimized Na2ZnSnTe4 structure.

- total energy (eV/f.u.) = -24.71

Lattice parameters (Å, degrees): 10.3270 10.9073 7.3026 90.00 134.98 90.00
With the nearest neighbours (Å) after each atom.
Sites, in units of the cell vectors:
Na (0.0000, 0.0000, 0.0000)  4 Te 3.18
Na (0.0000, 0.2492, 0.5000)  4 Te 3.10
Na (0.5000, 0.5000, 0.0000)  4 Te 3.18
Na (0.5000, 0.7492, 0.5000)  4 Te 3.10
Zn (0.0000, 0.7500, 0.5000)  4 Te 2.66
Zn (0.5000, 0.2500, 0.5000)  4 Te 2.66
Sn (0.0000, 0.4998, 0.0000)  4 Te 2.79
Sn (0.5000, 0.9998, 0.0000)  4 Te 2.79
Te (0.2045, 0.6350, 0.9519)  1 Zn 2.66, 1 Sn 2.79
Te (0.2476, 0.8649, 0.5429)  1 Zn 2.66, 1 Sn 2.79
Te (0.2524, 0.3649, 0.4571)  1 Zn 2.66, 1 Sn 2.79
Te (0.2955, 0.1350, 0.0481)  1 Zn 2.66, 1 Sn 2.79
Te (0.7045, 0.1350, 0.9519)  1 Zn 2.66, 1 Sn 2.79
Te (0.7476, 0.3649, 0.5429)  1 Zn 2.66, 1 Sn 2.79
Te (0.7524, 0.8649, 0.4571)  1 Zn 2.66, 1 Sn 2.79
Te (0.7955, 0.6350, 0.0481)  1 Zn 2.66, 1 Sn 2.79

---

No. 11
VASP calculation (PBE-GGA) on a geometry-optimized Na2ZnSnTe4 structure.

- total energy (eV/f.u.) = -24.72

Lattice parameters (Å, degrees): 7.2741 7.2741 11.0112 90.00 90.00 90.00
With the nearest neighbours (Å) after each atom.
Sites, in units of the cell vectors:
Na (0.0000, 0.0000, 0.0000)  4 Te 3.17
Na (0.0000, 0.5000, 0.2500)  4 Te 3.10
Na (0.5000, 0.0000, 0.7500)  4 Te 3.10
Na (0.5000, 0.5000, 0.5000)  4 Te 3.17
Zn (0.0000, 0.5000, 0.7500)  4 Te 2.66
Zn (0.5000, 0.0000, 0.2500)  4 Te 2.66
Sn (0.0000, 0.0000, 0.5000)  4 Te 2.79
Sn (0.5000, 0.5000, 0.0000)  4 Te 2.79
Te (0.2048, 0.2527, 0.6345)  1 Zn 2.66, 1 Sn 2.79
Te (0.2473, 0.7048, 0.8655)  1 Zn 2.66, 1 Sn 2.79
Te (0.2527, 0.7952, 0.3655)  1 Zn 2.66, 1 Sn 2.79
Te (0.2952, 0.2473, 0.1345)  1 Zn 2.66, 1 Sn 2.79
Te (0.7048, 0.7527, 0.1345)  1 Zn 2.66, 1 Sn 2.79
Te (0.7473, 0.2048, 0.3655)  1 Zn 2.66, 1 Sn 2.79
Te (0.7527, 0.2952, 0.8655)  1 Zn 2.66, 1 Sn 2.79
Te (0.7952, 0.7473, 0.6345)  1 Zn 2.66, 1 Sn 2.79

---

No. 12
VASP calculation (PBE-GGA) on a geometry-optimized Na2TmSn4 structure.

- total energy (eV/f.u.) = -23.51

Lattice parameters (Å, degrees): 6.7536 12.3994 4.7999 90.00 90.00 90.00
With the nearest neighbours (Å) after each atom.
Sites, in units of the cell vectors:
Na (0.2500, 0.2500, 0.0000)  6 Sn 3.11-3.31, 2 Na 3.38
Na (0.2500, 0.7500, 0.0000)  6 Sn 3.11-3.31, 2 Na 3.38
Na (0.7500, 0.2500, 0.0000)  6 Sn 3.11-3.31, 2 Na 3.38
Na (0.7500, 0.7500, 0.0000)  6 Sn 3.11-3.31, 2 Na 3.38
Tm (0.0000, 0.0000, 0.5000)  4 Sn 3.05
Tm (0.5000, 0.5000, 0.5000)  4 Sn 3.05
Sn (0.0000, 0.3739, 0.5000)  5 Sn 3.13-3.23, 4 Na 3.31
Sn (0.0000, 0.6261, 0.5000)  5 Sn 3.13-3.23, 4 Na 3.31
Sn (0.2217, 0.5000, 0.0000)  5 Sn 3.00-3.23, 2 Tm 3.05, 2 Na 3.11
Sn (0.2783, 0.0000, 0.0000)  5 Sn 3.00-3.23, 2 Tm 3.05, 2 Na 3.11
Sn (0.5000, 0.1261, 0.5000)  5 Sn 3.13-3.23, 4 Na 3.31
Sn (0.5000, 0.8739, 0.5000)  5 Sn 3.13-3.23, 4 Na 3.31
Sn (0.7217, 0.0000, 0.0000)  5 Sn 3.00-3.23, 2 Tm 3.05, 2 Na 3.11
Sn (0.7783, 0.5000, 0.0000)  5 Sn 3.00-3.23, 2 Tm 3.05, 2 Na 3.11

---

| no. | volume (Å³ per atom) |
| --- | --- |
| 1 | 32.950 |
| 2 | 33.473 |
| 3 | 35.377 |
| 4 | 34.696 |
| 5 | 25.471 |
| 6 | 20.039 |
| 7 | 22.671 |
| 8 | 17.228 |
| 9 | 16.892 |
| 10 | 36.365 |
| 11 | 36.415 |
| 12 | 28.710 |